This record from the Alexandria database describes a geometry-optimized K2NaSiO4 structure. The functional is GGA-PBE.

formation energy without anion corrections	-1.864	eV/atom
space-group type	I-42m

Cell: 6.585 6.585 6.060 Å, 90.00 90.00 90.00°
Fractional coordinates of all 16 atoms:
K 0.000 0.500 0.000
K 0.000 0.500 0.500
K 0.500 0.000 0.000
K 0.500 0.000 0.500
Na 0.000 0.000 0.000
Na 0.500 0.500 0.500
Si 0.000 0.000 0.500
Si 0.500 0.500 0.000
O 0.139 0.139 0.329
O 0.139 0.861 0.671
O 0.361 0.361 0.829
O 0.361 0.639 0.171
O 0.639 0.361 0.171
O 0.639 0.639 0.829
O 0.861 0.139 0.671
O 0.861 0.861 0.329

=====

This record from the Alexandria database describes a geometry-optimized La6Ga2Os structure. The functional is GGA-PBE.

energy relative to the elements	-0.289	eV/atom
space-group type	P2_1/c

Cell: 6.115 8.806 11.721 Å, 90.00 117.83 90.00°
Fractional coordinates of all 18 atoms:
La 0.052 0.185 0.446
La 0.052 0.315 0.946
La 0.345 0.661 0.438
La 0.345 0.839 0.938
La 0.347 0.023 0.258
La 0.347 0.477 0.758
La 0.653 0.523 0.242
La 0.653 0.977 0.742
La 0.655 0.161 0.062
La 0.655 0.339 0.562
La 0.948 0.685 0.054
La 0.948 0.815 0.554
Ga 0.175 0.129 0.749
Ga 0.175 0.371 0.249
Ga 0.825 0.629 0.751
Ga 0.825 0.871 0.251
Os 0.000 0.000 0.000
Os 0.000 0.500 0.500

=====

This record from the Alexandria database describes a geometry-optimized NaLa2PbN structure. The functional is GGA-PBE.

formation energy without anion corrections	-0.756	eV/atom
space-group type	P4/mmm

Cell: 5.082 5.082 4.933 Å, 90.00 90.00 90.00°
Fractional coordinates of all 5 atoms:
Na 0.000 0.000 0.000
La 0.000 0.500 0.500
La 0.500 0.000 0.500
Pb 0.500 0.500 0.000
N 0.000 0.000 0.500

=====

This record from the Alexandria database describes a geometry-optimized Mg2AgBr structure. The functional is GGA-PBE.

formation energy without anion corrections	-0.455	eV/atom
space-group type	Cm

Cell: 15.958 3.361 3.518 Å, 90.00 90.73 90.00°
Fractional coordinates of all 8 atoms:
Mg 0.000 0.000 0.000
Mg 0.204 0.000 0.012
Mg 0.500 0.500 0.000
Mg 0.704 0.500 0.012
Ag 0.097 0.500 0.508
Ag 0.597 0.000 0.508
Br 0.334 0.500 0.045
Br 0.834 0.000 0.045

=====

This record from the Alexandria database describes a geometry-optimized CdRePt2 structure. The functional is GGA-PBE.

energy relative to the elements	0.227	eV/atom
space-group type	P4mm

Cell: 3.250 3.250 6.327 Å, 90.00 90.00 90.00°
Fractional coordinates of all 4 atoms:
Cd 0.000 0.000 0.000
Re 0.500 0.500 0.708
Pt 0.000 0.000 0.506
Pt 0.500 0.500 0.259

=====

This record from the Alexandria database describes a geometry-optimized La4Tl2Br structure. The functional is GGA-PBE.

formation energy without anion corrections	-0.473	eV/atom
space-group type	Amm2

Cell: 5.736 11.508 7.080 Å, 90.00 90.00 90.00°
Fractional coordinates of all 14 atoms:
La 0.000 0.000 0.000
La 0.000 0.000 0.487
La 0.000 0.500 0.500
La 0.000 0.500 0.987
La 0.500 0.250 0.494
La 0.500 0.250 0.994
La 0.500 0.750 0.494
La 0.500 0.750 0.994
Tl 0.000 0.238 0.744
Tl 0.000 0.262 0.244
Tl 0.000 0.738 0.244
Tl 0.000 0.762 0.744
Br 0.500 0.000 0.243
Br 0.500 0.500 0.743

=====

no.,total moment (μB per atom)
1,0.126
2,0.000
3,0.000
4,0.000
5,0.000
6,0.000